Computed, not measured: a relaxed Ba8Ge2P crystal at the PBE-GGA level of DFT.

Cell and atoms, written as POSCAR:
```
Ba8Ge2P
1.0
11.106 -2.748 0.000
11.106 2.748 0.000
-1.682 0.000 7.593
Ba Ge P
8 2 1
direct
0.039 0.039 0.313
0.219 0.219 0.825
0.338 0.338 0.532
0.412 0.412 0.090
0.588 0.588 0.910
0.662 0.662 0.468
0.781 0.781 0.175
0.961 0.961 0.687
0.189 0.189 0.233
0.811 0.811 0.767
0.500 0.500 0.500
```

Output
As for the uncorrected energy: -3.13 eV per atom. For the calculated volume, the calculation gives 42.14 Å³/atom. Its energy of formation is -0.40 eV per atom. The calculation puts the spin magnetization at 0.25 Bohr magnetons per cell.